Below is a relaxed BaSc2Si crystal, with properties calculated at the PBE level.

Properties
energy	-5.09	eV/atom
formation energy from raw total energies	-0.086	eV/atom

Cell: 6.5513 6.5513 6.5513 Å, 149.69 126.56 62.68°
Last column: nearest neighbours and their distance in Å.
Fractional positions:
Ba 0.0000 0.0000 0.0000  4 Si 3.41, 2 Ba 3.43, 4 Sc 3.62
Sc 0.3118 0.8118 0.5000  2 Si 2.71
Sc 0.6882 0.1882 0.5000  2 Si 2.71
Si 0.5000 0.5000 0.0000  4 Sc 2.71